No. 1
Density functional theory data (PBE) for crystalline ScP2Br at its relaxed geometry.

The calculation puts the raw formation energy at -615 meV/atom. The calculation puts the calculated density at 3.5 g cm⁻³. For the relative energy among the computed polymorphs, the calculation gives 224 meV/atom. The value obtained for the total magnetization is 0.0 μB per formula unit.

```
ScP2Br
1.0
-4.526 -1.759 0.476
0.710 -0.905 3.413
-1.297 4.149 3.001
P Sc Br
2 1 1
Cartesian
-0.096 0.395 0.548
-0.197 1.227 2.660
-2.410 -0.068 1.842
-2.703 1.554 5.049
```


No. 2
Density functional theory data (PBE) for crystalline Hf4Nb2Rh at its relaxed geometry.

The calculation puts the calculated density at 10.2 g cm⁻³. For the formation energy, the calculation gives 0.6906 eV per atom. The value obtained for the total magnetization is 0.0 μB per formula unit.

```
Hf4Nb2Rh
1.0
4.911 0.000 0.000
0.000 4.911 0.000
2.455 2.455 6.798
Hf Nb Rh
4 2 1
Cartesian
2.455 0.000 0.000
4.911 4.911 2.620
2.455 2.455 4.179
0.000 2.455 0.000
4.911 4.911 5.251
2.455 2.455 1.547
0.000 0.000 0.000
```


No. 3
Density functional theory data (PBE) for crystalline Ce2PuMg at its relaxed geometry.

The calculation puts the calculated density at 8.5 g cm⁻³. For the formation energy, the calculation gives 0.0868 eV per atom. For the relative energy among the computed polymorphs, the calculation gives 14 meV/atom. The value obtained for the total magnetization is 7.9 μB per formula unit.

```
Ce2PuMg
1.0
3.857 0.000 0.000
0.000 5.257 0.000
0.000 0.000 5.257
Pu Ce Mg
1 2 1
Cartesian
1.929 0.000 0.000
0.000 2.629 0.000
0.000 0.000 2.629
1.929 2.629 2.629
```